## In2AgPt (PBE-GGA)

Data for an optimized crystal structure of In2AgPt.

POSCAR file:
```
In2AgPt
1.0
-2.955 1.626 -1.722
-2.187 -0.997 2.812
1.159 4.899 2.639
Ag In Pt
1 2 1
Cartesian
-1.682 4.072 2.569 Ag
1.126 4.762 2.565 In
-2.240 1.715 1.300 In
0.550 2.327 1.254 Pt
```

Uncorrected energy: -15.11 eV for the cell shown
Energy above the lowest structure with this stoichiometry: 22 meV/atom
Calculated volume: 80 Å³/cell
Formation energy: -0.7 eV per formula unit
Space group: Pmm2, No. 25
Size of the total moment: 0.00 μB/cell
Theoretical density: 11.11 g cm⁻³